A plane-wave DFT calculation with PBE was carried out for a geometry-optimized Na3RuRh3Se8 structure.

## Properties
Formation energy without anion corrections, eV/atom: -0.56
Magnetic moment, μB per cell: 1.504
Fermi-level density of states, states/eV per cell: 9.064
V, Å³ per cell: 332.2

a b c (Å): 7.998 7.998 7.998
angles (deg): 56.46 56.46 56.46
Fractional positions:
Na  0.000  0.500  0.500
Na  0.500  0.000  0.500
Na  0.500  0.500  0.000
Ru  0.500  0.500  0.500
Rh  0.000  0.000  0.500
Rh  0.000  0.500  0.000
Rh  0.500  0.000  0.000
Se  0.230  0.230  0.230
Se  0.230  0.730  0.730
Se  0.270  0.270  0.770
Se  0.270  0.770  0.270
Se  0.730  0.230  0.730
Se  0.730  0.730  0.230
Se  0.770  0.270  0.270
Se  0.770  0.770  0.770

A plane-wave DFT calculation with PBE was carried out for a geometry-optimized Y2BeNi structure.

## Properties
Magnetic moment, μB per cell: 1.057
Formation enthalpy at 0 K, eV per atom: -0.215
Fermi-level density of states, states/eV per cell: 14.970
V, Å³ per cell: 265.4

a b c (Å): 3.900 3.900 20.145
angles (deg): 90.00 90.00 120.00
Fractional positions:
Y  0.000  0.000  0.000
Y  0.000  0.000  0.176
Y  0.333  0.667  0.667
Y  0.333  0.667  0.843
Y  0.667  0.333  0.333
Y  0.667  0.333  0.510
Be  0.000  0.000  0.421
Be  0.333  0.667  0.088
Be  0.667  0.333  0.754
Ni  0.000  0.000  0.755
Ni  0.333  0.667  0.422
Ni  0.667  0.333  0.089

A plane-wave DFT calculation with PBE was carried out for a geometry-optimized KHg2P structure.

## Properties
Magnetic moment, μB per cell: 0.000
Formation enthalpy at 0 K, eV per atom: 0.186
Fermi-level density of states, states/eV per cell: 1.883
V, Å³ per cell: 204.8

a b c (Å): 6.503 11.749 2.990
angles (deg): 90.00 116.27 90.00
Fractional positions:
K  0.000  0.000  0.000
K  0.500  0.500  0.000
Hg  0.250  0.250  0.000
Hg  0.250  0.750  0.000
Hg  0.750  0.250  0.000
Hg  0.750  0.750  0.000
P  0.000  0.500  0.000
P  0.500  0.000  0.000

A plane-wave DFT calculation with PBE was carried out for a geometry-optimized Rh4AuBr structure.

## Properties
Formation energy without anion corrections, eV/atom: 0.70
Magnetic moment, μB per cell: 2.429
Fermi-level density of states, states/eV per cell: 11.101
V, Å³ per cell: 102.1

a b c (Å): 5.246 5.246 5.246
angles (deg): 60.00 60.00 60.00
Fractional positions:
Rh  0.125  0.125  0.125
Rh  0.125  0.125  0.624
Rh  0.125  0.624  0.125
Rh  0.624  0.125  0.125
Au  0.750  0.750  0.750
Br  0.500  0.500  0.500

Number 3 is which compound?
KHg2P